Entry 1:
The following is a PBE calculation of crystalline PIrAu2S at its relaxed geometry, from Alexandria via LeMat-Bulk.

Lattice parameters (Å, degrees): 5.181 4.301 5.181 90.00 90.00 90.00
Element x y z (fractional)
P  0.000  0.500  0.000
S  0.500  0.500  0.500
Ir  0.000  0.000  0.000
Au  0.000  0.000  0.500
Au  0.500  0.000  0.000

raw formation energy = 0.8442 eV per atom
density of states at the Fermi level = 3.9 states/eV/f.u.

=====

Entry 2:
The following is a PBE calculation of crystalline ReTcOs3 at its relaxed geometry, from Alexandria via LeMat-Bulk.

Lattice parameters (Å, degrees): 4.592 4.592 4.592 90.00 90.00 90.00
Each line ends with the local moment (μB).
Element x y z (fractional)
Re  0.500  0.500  0.500  2.01
Os  0.000  0.500  0.000  0.20
Os  0.000  0.000  0.500  0.15
Os  0.500  0.000  0.000  0.17
Tc  0.000  0.000  0.000  0.08

ΔE to the lowest computed polymorph = 2.721 eV/atom
density of states at the Fermi level = 9.0 states/eV/f.u.

=====

Entry 3:
The following is a PBE calculation of crystalline PrMgSn2Pd4 at its relaxed geometry, from Alexandria via LeMat-Bulk.

Lattice parameters (Å, degrees): 4.601 4.601 8.948 75.10 75.10 60.00
Element x y z (fractional)
Pr  0.000  0.000  0.000
Mg  0.500  0.500  0.500
Sn  0.756  0.756  0.731
Sn  0.244  0.244  0.269
Pd  0.398  0.398  0.806
Pd  0.868  0.868  0.397
Pd  0.132  0.132  0.603
Pd  0.602  0.602  0.194

final energy = -5.123 eV per atom
density of states at the Fermi level = 3.3 states/eV/f.u.